First-principles (GGA-PBE) data for a relaxed La6SnGe crystal, as listed in Alexandria.

Cell: 4.9705 4.9705 9.9130 Å, 90.00 90.00 90.00°
Space group P4/mmm (No. 123)
Asymmetric unit:
1 La 0.0000 0.0000 0.0000 x1
2 La 0.0000 0.0000 0.5000 x1
3 La 0.0000 0.5000 0.2414 x4
4 Sn 0.5000 0.5000 0.5000 x1
5 Ge 0.5000 0.5000 0.0000 x1

Calculated values
As for the formation energy from the elements: -441 meV per atom. As for the volume: 30.6 Å³/atom. Its total magnetization is 0.000 μB/f.u. The value obtained for the total energy is -5.21 eV/atom.

First-principles (GGA-PBE) data for a relaxed NbBrN2F crystal, as listed in Alexandria.

Cell: 4.1509 4.1509 4.1638 Å, 90.00 90.00 90.00°
Space group P4/mmm (No. 123)
Asymmetric unit:
1 Nb 0.0000 0.0000 0.0000 x1
2 Br 0.5000 0.5000 0.5000 x1
3 N 0.0000 0.5000 0.0000 x2
4 F 0.0000 0.0000 0.5000 x1

Calculated values
As for the energy above the most stable polymorph in this dataset: 0 meV per atom. As for the volume: 14.3 Å³/atom. Its total magnetization is 0.000 μB/f.u. As for the uncorrected formation energy: -0.042 eV per atom. The value obtained for the total energy is -6.09 eV/atom.

Look up the total magnetization of the second one. 0.000 μB/f.u.